The following is a PBE calculation of Pr3Y2Mg3 after structural relaxation, from Alexandria via LeMat-Bulk.

total magnetization: 0.0 μB/cell
formation enthalpy at 0 K: -7 kJ per mole of atoms

a = 3.8374 Å, b = 5.6025 Å, c = 11.8984 Å
α = 103.62°, β = 99.28°, γ = 90.00°
With the nearest neighbours (Å) after each atom.
Atoms (fractional coordinates):
Pr1 0.6253 0.6253 0.2507  6 Mg 3.40-3.44, 4 Y 3.71-3.76
Pr2 0.3747 0.3747 0.7493  6 Mg 3.40-3.44, 4 Y 3.71-3.76
Pr3 0.5000 0.0000 0.0000  8 Mg 3.34-3.40
Y1 0.7355 0.2355 0.4711  2 Mg 3.26, 4 Y 3.46
Y2 0.2645 0.7645 0.5289  2 Mg 3.26, 4 Y 3.46
Mg1 0.1199 0.1199 0.2397  2 Y 3.26, 6 Pr 3.34-3.40
Mg2 0.0000 0.5000 0.0000  8 Pr 3.40-3.44
Mg3 0.8801 0.8801 0.7603  2 Y 3.26, 6 Pr 3.34-3.40